[1]
This record from Alexandria describes an optimized crystal structure of Na2LiScGa. The functional is GGA-PBE.

Unit cell a=6.0450 b=5.3939 c=6.0450 alpha=90.00 beta=90.00 gamma=90.00
Each line ends with the local moment (μB).
Fractional positions:
Sc 0.0000 0.0000 0.0000  0.94
Na 0.0000 0.0000 0.5000  0.02
Na 0.5000 0.0000 0.0000  0.01
Ga 0.5000 0.5000 0.5000  0.02
Li 0.0000 0.5000 0.0000  0.07

[2]
This record from Alexandria describes an optimized crystal structure of K3Pr3NpO8. The functional is GGA-PBE.

Results
E_form (uncorrected): -2661 meV/atom

Unit cell a=7.2796 b=7.2796 c=7.6235 alpha=118.52 beta=90.00 gamma=120.00
Each line ends with the local moment (μB).
Fractional positions:
K 0.0000 0.0000 0.0000  0.00
K 0.0000 0.5000 0.0000  0.00
K 0.5000 0.5000 0.0000  0.00
Pr 0.5000 0.0000 0.5000  0.01
Pr 0.5000 0.5000 0.5000  0.01
Pr 0.0000 0.5000 0.5000  0.01
Np 0.0000 0.0000 0.5000  3.03
O 0.2703 0.5407 0.3110  0.00
O 0.7297 0.4593 0.6890  0.00
O 0.7857 0.5715 0.3225  -0.03
O 0.2143 0.4285 0.6775  -0.03
O 0.7858 0.0367 0.3225  -0.03
O 0.2142 0.9633 0.6775  -0.03
O 0.2510 0.0367 0.3225  -0.03
O 0.7490 0.9633 0.6775  -0.03

[3]
This record from Alexandria describes an optimized crystal structure of RuPt2W. The functional is GGA-PBE.

Results
energy above the lowest structure with this stoichiometry: 1.72 eV per formula unit

Unit cell a=4.4484 b=4.4484 c=4.4484 alpha=60.00 beta=60.00 gamma=60.00
Fractional positions:
Ru 0.0000 0.0000 0.0000
W 0.5000 0.5000 0.5000
Pt 0.2500 0.2500 0.2500
Pt 0.7500 0.7500 0.7500

Calculated E_tot in order - -8.98; -110.15; -33.36 eV/cell
Calculated theoretical density in order - 1.4; 5.1; 18.0 Mg/m³